Record 1
First-principles (meta-GGA SCAN) data for CaMo at its PBEsol-relaxed geometry, as listed in Alexandria.

Lattice parameters (Å, degrees): 3.884 3.924 5.143 90.00 90.00 90.00
Space group Cmmm (No. 65)
One atom of each set of equivalent atoms:
Ca  0.000  0.000  0.000 x2
Mo  0.000  0.500  0.500 x2

Summary:
DFT formation energy = 911 meV/atom

***

Record 2
First-principles (meta-GGA SCAN) data for CaMo at its PBEsol-relaxed geometry, as listed in Alexandria.

Lattice parameters (Å, degrees): 3.409 5.218 10.189 90.00 90.00 90.00
Space group Cmme (No. 67)
One atom of each set of equivalent atoms:
Ca  0.000  0.250  0.165 x4
Mo  0.000  0.250  0.585 x4

Summary:
DFT formation energy = 659 meV/atom

***

Record 3
First-principles (meta-GGA SCAN) data for CaMo at its PBEsol-relaxed geometry, as listed in Alexandria.

Lattice parameters (Å, degrees): 3.404 5.414 10.051 90.00 90.00 90.00
Space group Imma (No. 74)
One atom of each set of equivalent atoms:
Ca  0.000  0.250  0.104 x4
Mo  0.000  0.250  0.670 x4

Summary:
DFT formation energy = 527 meV/atom

***

Record 4
First-principles (meta-GGA SCAN) data for Ca3MoN3 at its PBEsol-relaxed geometry, as listed in Alexandria.

Lattice parameters (Å, degrees): 7.3897 7.3897 5.0316 90.00 90.00 120.00
Space group P6_3/m (No. 176)
One atom of each set of equivalent atoms:
Ca  0.1017  0.7490  0.2500 x6
Mo  0.3333  0.6667  0.7500 x2
N  0.1114  0.7173  0.7500 x6

Summary:
formation energy (no corrections) = -1.009 eV per atom

***

Record 5
First-principles (meta-GGA SCAN) data for Ca2MoN3 at its PBEsol-relaxed geometry, as listed in Alexandria.

Lattice parameters (Å, degrees): 5.461 10.616 11.848 90.00 95.73 90.00
Space group C2/c (No. 15)
One atom of each set of equivalent atoms:
Ca  0.225  0.204  0.357 x8
Ca  0.231  0.114  0.923 x8
Mo  0.218  0.497  0.834 x8
N  0.000  0.005  0.250 x4
N  0.000  0.373  0.250 x4
N  0.173  0.330  0.876 x8
N  0.234  0.090  0.536 x8

Summary:
formation energy (no corrections) = -1.084 eV per atom

***

Record 6
First-principles (meta-GGA SCAN) data for CaMoW2N at its PBEsol-relaxed geometry, as listed in Alexandria.

Lattice parameters (Å, degrees): 4.780 4.780 3.770 90.00 90.00 90.00
Space group P4/mmm (No. 123)
One atom of each set of equivalent atoms:
Ca  0.000  0.000  0.000 x1
Mo  0.500  0.500  0.500 x1
W  0.000  0.500  0.000 x2
N  0.000  0.000  0.500 x1

Summary:
formation energy (no corrections) = 3.363 eV per atom

***

Record 7
First-principles (meta-GGA SCAN) data for CaNb2MoRu at its PBEsol-relaxed geometry, as listed in Alexandria.

Lattice parameters (Å, degrees): 4.829 4.829 4.763 90.00 90.00 90.00
Space group P4/mmm (No. 123)
One atom of each set of equivalent atoms:
Ca  0.000  0.000  0.000 x1
Nb  0.000  0.500  0.500 x2
Mo  0.500  0.500  0.000 x1
Ru  0.500  0.500  0.500 x1

Summary:
DFT formation energy = 860 meV/atom

***

Record 8
First-principles (meta-GGA SCAN) data for CaScNbMo2 at its PBEsol-relaxed geometry, as listed in Alexandria.

Lattice parameters (Å, degrees): 4.730 4.730 5.220 90.00 90.00 90.00
Space group P4/mmm (No. 123)
One atom of each set of equivalent atoms:
Ca  0.000  0.000  0.000 x1
Sc  0.500  0.500  0.000 x1
Nb  0.000  0.000  0.500 x1
Mo  0.000  0.500  0.500 x2

Summary:
DFT formation energy = 1330 meV/atom

***

Record 9
First-principles (meta-GGA SCAN) data for CaZrNb2Mo at its PBEsol-relaxed geometry, as listed in Alexandria.

Lattice parameters (Å, degrees): 4.882 4.882 5.070 90.00 90.00 90.00
Space group P4/mmm (No. 123)
One atom of each set of equivalent atoms:
Ca  0.000  0.000  0.000 x1
Zr  0.500  0.500  0.000 x1
Nb  0.000  0.500  0.500 x2
Mo  0.500  0.500  0.500 x1

Summary:
DFT formation energy = 771 meV/atom

***

Record 10
First-principles (meta-GGA SCAN) data for CaNiMo at its PBEsol-relaxed geometry, as listed in Alexandria.

Lattice parameters (Å, degrees): 4.5858 4.5858 2.7383 90.00 90.00 120.00
Space group P3m1 (No. 156)
One atom of each set of equivalent atoms:
Ca  0.0000  0.0000  0.0000 x1
Ni  0.6667  0.3333  0.5399 x1
Mo  0.3333  0.6667  0.4487 x1

Summary:
DFT formation energy = 826 meV/atom

***

Record 11
First-principles (meta-GGA SCAN) data for Ca2NiMo at its PBEsol-relaxed geometry, as listed in Alexandria.

Lattice parameters (Å, degrees): 3.154 3.154 8.802 90.00 90.00 90.00
Space group P4mm (No. 99)
One atom of each set of equivalent atoms:
Ca  0.000  0.000  0.000 x1
Ca  0.500  0.500  0.385 x1
Ni  0.000  0.000  0.618 x1
Mo  0.500  0.500  0.744 x1

Summary:
DFT formation energy = 406 meV/atom

***

Record 12
First-principles (meta-GGA SCAN) data for CaNiMo3 at its PBEsol-relaxed geometry, as listed in Alexandria.

Lattice parameters (Å, degrees): 4.414 4.414 4.414 90.00 90.00 90.00
Space group Pm-3m (No. 221)
One atom of each set of equivalent atoms:
Ca  0.000  0.000  0.000 x1
Ni  0.500  0.500  0.500 x1
Mo  0.000  0.000  0.500 x3

Summary:
DFT formation energy = 3047 meV/atom

***

Record 13
First-principles (meta-GGA SCAN) data for Ca2NiMo at its PBEsol-relaxed geometry, as listed in Alexandria.

Lattice parameters (Å, degrees): 6.965 6.965 6.965 90.00 90.00 90.00
Space group Fm-3m (No. 225)
One atom of each set of equivalent atoms:
Ca  0.250  0.250  0.250 x8
Ni  0.000  0.000  0.000 x4
Mo  0.000  0.000  0.500 x4

Summary:
DFT formation energy = 745 meV/atom

***

Record 14
First-principles (meta-GGA SCAN) data for Ca2TiNiMo at its PBEsol-relaxed geometry, as listed in Alexandria.

Lattice parameters (Å, degrees): 5.094 5.094 4.587 90.00 90.00 90.00
Space group P4/mmm (No. 123)
One atom of each set of equivalent atoms:
Ca  0.000  0.500  0.000 x2
Ti  0.000  0.000  0.500 x1
Ni  0.500  0.500  0.000 x1
Mo  0.500  0.500  0.500 x1

Summary:
DFT formation energy = 837 meV/atom

***

Record 15
First-principles (meta-GGA SCAN) data for CaMoO2 at its PBEsol-relaxed geometry, as listed in Alexandria.

Lattice parameters (Å, degrees): 4.560 4.560 11.338 90.00 90.00 90.00
Space group I-42d (No. 122)
One atom of each set of equivalent atoms:
Ca  0.000  0.000  0.000 x4
Mo  0.000  0.000  0.500 x4
O  0.163  0.250  0.625 x8

Summary:
formation energy (no corrections) = -1.626 eV per atom

***

Record 16
First-principles (meta-GGA SCAN) data for CaMo2P2O10 at its PBEsol-relaxed geometry, as listed in Alexandria.

Lattice parameters (Å, degrees): 7.419 11.971 15.836 90.00 90.00 90.00
Space group Fddd (No. 70, origin choice 2)
One atom of each set of equivalent atoms:
Ca  0.125  0.125  0.125 x8
Mo  0.000  0.000  0.500 x16
P  0.125  0.125  0.330 x16
O  0.039  0.362  0.520 x32
O  0.102  0.020  0.864 x32
O  0.125  0.125  0.538 x16

Summary:
formation energy (no corrections) = -2.487 eV per atom

***

Record 17
First-principles (meta-GGA SCAN) data for CaMoP2O at its PBEsol-relaxed geometry, as listed in Alexandria.

Lattice parameters (Å, degrees): 4.811 4.811 3.790 90.00 90.00 90.00
Space group P4/mmm (No. 123)
One atom of each set of equivalent atoms:
Ca  0.000  0.000  0.000 x1
Mo  0.500  0.500  0.500 x1
P  0.000  0.500  0.500 x2
O  0.500  0.500  0.000 x1

Summary:
formation energy (no corrections) = -0.931 eV per atom

***

Record 18
First-principles (meta-GGA SCAN) data for CaMo3P3O13 at its PBEsol-relaxed geometry, as listed in Alexandria.

Lattice parameters (Å, degrees): 7.638 6.528 10.486 90.00 99.33 90.00
Space group P2_1/m (No. 11)
One atom of each set of equivalent atoms:
Ca  0.154  0.250  0.197 x2
Mo  0.145  0.250  0.794 x2
Mo  0.260  0.750  0.439 x2
Mo  0.500  0.000  0.000 x2
P  0.178  0.750  0.108 x2
P  0.242  0.750  0.765 x2
P  0.290  0.250  0.503 x2
O  0.013  0.250  0.969 x2
O  0.121  0.567  0.786 x4
O  0.138  0.750  0.251 x2
O  0.161  0.250  0.603 x2
O  0.248  0.066  0.409 x4
O  0.280  0.551  0.092 x4
O  0.313  0.750  0.638 x2
O  0.379  0.250  0.904 x2
O  0.410  0.750  0.875 x2
O  0.480  0.250  0.577 x2

Summary:
formation energy (no corrections) = -2.309 eV per atom

***

Record 19
First-principles (meta-GGA SCAN) data for CaPrMo2O6 at its PBEsol-relaxed geometry, as listed in Alexandria.

Lattice parameters (Å, degrees): 7.793 5.718 5.407 90.00 90.00 90.00
Space group Pmn2_1 (No. 31)
One atom of each set of equivalent atoms:
Ca  0.000  0.190  0.000 x2
Pr  0.000  0.691  0.532 x2
Mo  0.249  0.248  0.516 x4
O  0.000  0.273  0.423 x2
O  0.000  0.777  0.100 x2
O  0.205  0.455  0.818 x4
O  0.207  0.960  0.720 x4

Summary:
formation energy (no corrections) = -2.660 eV per atom

***

Record 20
First-principles (meta-GGA SCAN) data for Ca2MoSO at its PBEsol-relaxed geometry, as listed in Alexandria.

Lattice parameters (Å, degrees): 4.255 4.255 5.904 90.00 90.00 90.00
Space group P4/mmm (No. 123)
One atom of each set of equivalent atoms:
Ca  0.000  0.500  0.000 x2
Mo  0.000  0.000  0.500 x1
S  0.500  0.500  0.500 x1
O  0.500  0.500  0.000 x1

Summary:
formation energy (no corrections) = -0.544 eV per atom